# Li2Cr2FeO6

An optimized crystal structure of Li2Cr2FeO6 (PBEsol, Alexandria).

a = 6.443 Å, b = 6.473 Å, c = 8.082 Å
α = 70.82°, β = 70.37°, γ = 82.42°
Last column: magnetic moment on the atom in μB.
Sites, in units of the cell vectors:
O: 0.487 0.491 0.741  0.03
O: 0.513 0.855 0.918  0.00
O: 0.172 0.181 0.920  0.01
O: 0.156 0.811 0.752  -0.01
O: 0.818 0.480 0.415  0.02
O: 0.483 0.817 0.416  -0.02
O: 0.143 0.487 0.079  0.01
O: 0.513 0.509 0.259  0.03
O: 0.517 0.183 0.584  -0.02
O: 0.828 0.819 0.080  0.01
O: 0.857 0.513 0.921  0.01
O: 0.155 0.156 0.405  0.01
O: 0.844 0.189 0.248  -0.01
O: 0.182 0.520 0.585  0.02
O: 0.845 0.844 0.595  0.01
O: 0.192 0.848 0.251  0.00
O: 0.487 0.145 0.082  0.00
O: 0.808 0.152 0.749  0.00
Li: 0.499 0.174 0.330  0.00
Li: 0.831 0.177 0.996  0.00
Li: 0.834 0.499 0.667  0.00
Li: 0.166 0.501 0.333  0.00
Li: 0.169 0.823 0.004  0.00
Li: 0.501 0.826 0.670  0.00
Cr: 0.832 0.162 0.498  2.46
Cr: 0.835 0.832 0.839  2.41
Cr: 0.489 0.173 0.832  2.37
Cr: 0.168 0.838 0.502  2.46
Cr: 0.511 0.827 0.168  2.37
Cr: 0.165 0.168 0.161  2.41
Fe: 0.171 0.499 0.830  1.36
Fe: 0.829 0.501 0.170  1.36
Fe: 0.500 0.500 0.500  1.40

## Properties
The total magnetization is 6.45 μB/f.u. For the density of states at the Fermi level, the calculation gives 9.5 states/eV/f.u. For the formation energy from raw total energies, the calculation gives -1825 meV/atom. Its space group is P-1.



# Li3Cr4FeO8

An optimized crystal structure of Li3Cr4FeO8 (PBEsol, Alexandria).

a = 5.806 Å, b = 5.815 Å, c = 5.843 Å
α = 119.85°, β = 119.72°, γ = 90.00°
Last column: magnetic moment on the atom in μB.
Sites, in units of the cell vectors:
O: 0.246 0.745 0.980  0.09
O: 0.754 0.765 0.020  0.09
O: 0.754 0.255 0.020  0.09
O: 0.229 0.745 0.489  0.11
O: 0.237 0.250 0.501  0.02
O: 0.771 0.255 0.511  0.11
O: 0.246 0.235 0.980  0.09
O: 0.763 0.750 0.499  0.02
Cr: 0.500 0.500 0.000  2.93
Cr: 0.000 0.500 0.500  2.71
Cr: 0.000 0.000 0.000  2.94
Cr: 0.000 0.000 0.500  2.71
Li: 0.500 0.000 0.000  0.01
Li: 0.500 0.500 0.500  0.00
Li: 0.500 0.000 0.500  0.00
Fe: 0.000 0.500 0.000  3.60

## Properties
The total magnetization is 16.21 μB/f.u. For the density of states at the Fermi level, the calculation gives 5.2 states/eV/f.u. For the formation energy from raw total energies, the calculation gives -1737 meV/atom. Its space group is C2/m.



Q: Among the records above, which one has the highest formation energy from raw total energies?
A: Li3Cr4FeO8



Q: What is the formula in the first record?
A: Li2Cr2FeO6



Q: The highest formation energy from raw total energies belongs to which entry?
A: Li3Cr4FeO8



Q: The highest formation energy from raw total energies belongs to which entry?
A: Li3Cr4FeO8